No. 1
! TlZnRh2, relaxed, DFT GGA-PBEsol; values from VASP
&SYSTEM
  ibrav = 0, nat = 4, ntyp = 3
/
ATOMIC_SPECIES
Zn 65.41 Zn.upf
Rh 102.91 Rh.upf
Tl 204.38 Tl.upf
CELL_PARAMETERS angstrom
3.110 0.000 0.000
0.000 3.110 0.000
0.000 0.000 6.229
ATOMIC_POSITIONS angstrom
Zn 1.555 1.555 3.114
Rh 0.000 0.000 4.535
Rh 0.000 0.000 1.694
Tl 1.555 1.555 0.000
! Space group ... P4/mmm
! Density of states at the Fermi level ... 1.542 states/eV/f.u.
! ΔE_f ... -135 meV/atom
! Total energy ... -21.03 eV/f.u.

***

No. 2
! HfZrBi2Sb, relaxed, DFT GGA-PBEsol; values from VASP
&SYSTEM
  ibrav = 0, nat = 5, ntyp = 4
/
ATOMIC_SPECIES
Hf 178.49 Hf.upf
Bi 208.98 Bi.upf
Sb 121.76 Sb.upf
Zr 91.22 Zr.upf
CELL_PARAMETERS angstrom
-1.383 -0.048 4.996
2.754 -4.708 0.717
4.530 2.845 1.281
ATOMIC_POSITIONS angstrom
Hf -0.691 -0.024 2.498
Bi 1.377 -2.354 0.359
Bi 2.265 1.423 0.641
Sb 2.951 -0.955 3.497
Zr 0.000 0.000 0.000
! Space group ... P4/mmm
! Density of states at the Fermi level ... 4.251 states/eV/f.u.
! Raw formation energy ... 0.746 eV per atom
! Total energy ... -28.99 eV/f.u.

***

The highest density of states at the Fermi level belongs to which entry?
HfZrBi2Sb